A geometry-optimized LaZn3N structure. Source: Alexandria via LeMat-Bulk, functional PBE-GGA.

Unit cell a=4.523 b=4.523 c=4.523 alpha=90.00 beta=90.00 gamma=90.00
Element x y z (fractional)
La (0.000, 0.000, 0.000)
Zn (0.000, 0.500, 0.500)
Zn (0.500, 0.000, 0.500)
Zn (0.500, 0.500, 0.000)
N (0.500, 0.500, 0.500)

Values from the calculation:
E_form (uncorrected), eV per formula unit: 2.0

A geometry-optimized NaAs3Pb structure. Source: Alexandria via LeMat-Bulk, functional PBE-GGA.

Unit cell a=5.091 b=5.091 c=5.091 alpha=90.00 beta=90.00 gamma=90.00
Element x y z (fractional)
Na (0.000, 0.000, 0.000)
As (0.000, 0.000, 0.500)
As (0.000, 0.500, 0.000)
As (0.500, 0.000, 0.000)
Pb (0.500, 0.500, 0.500)

Values from the calculation:
VASP energy, eV per atom: -3.01

Copy entry 2 word for word.
A geometry-optimized NaAs3Pb structure. Source: Alexandria via LeMat-Bulk, functional PBE-GGA.

Unit cell a=5.091 b=5.091 c=5.091 alpha=90.00 beta=90.00 gamma=90.00
Element x y z (fractional)
Na (0.000, 0.000, 0.000)
As (0.000, 0.000, 0.500)
As (0.000, 0.500, 0.000)
As (0.500, 0.000, 0.000)
Pb (0.500, 0.500, 0.500)

Values from the calculation:
VASP energy, eV per atom: -3.01

- Which formula does entry 2 have?
  NaAs3Pb